1.
SrVBiO5: optimized geometry, PBE+U.

```
16
Lattice="6.3063 -0.1673 0.6839 -2.0009 5.9827 0.6839 -0.9337 -1.2612 7.3767" Properties=species:S:1:pos:R:3 pbc="T T T"
O 1.3306 -0.8031 5.5663
O 2.0410 5.3573 3.1781
O 4.3822 -0.2072 6.2164
O 0.2865 2.8547 4.7944
O -1.0106 4.7614 2.5280
O -0.6897 1.6688 1.8780
O 4.0613 2.8854 6.8664
O 3.0851 1.6995 3.9500
O 0.2580 2.8162 7.6383
O 3.1136 1.7380 1.1060
Bi 0.6443 3.5363 2.5280
Bi 2.7273 1.0179 6.2164
Sr -0.4669 -0.6306 3.6883
Sr 0.0000 0.0000 0.0000
V 3.8782 1.1421 2.5280
V -0.5066 3.4121 6.2164
```

energy: -107.61 eV per cell
ρ: 4.9 g/cm3
volume: 286.93 Å³/cell

2.
Sr2VBiO6: optimized geometry, PBE+U.

```
10
Lattice="4.8931 0.0000 0.0000 0.0000 5.7152 0.0000 0.0000 0.0000 5.7152" Properties=species:S:1:pos:R:3 pbc="T T T"
Sr 0.0958 0.0000 2.8576
Sr 0.0958 2.8576 0.0000
O 3.4664 4.4443 1.2709
O 1.2061 0.0000 0.0000
O 0.6917 2.8576 2.8576
O 3.4664 4.4443 4.4443
O 3.4664 1.2709 1.2709
O 3.4664 1.2709 4.4443
V 2.9278 0.0000 0.0000
Bi 2.8757 2.8576 2.8576
```

energy: -66.02 eV per cell
ρ: 5.5 g/cm3
volume: 159.83 Å³/cell

3.
Sr3V3BiO12: optimized geometry, PBE+U.

```
38
Lattice="-4.5322 3.2991 8.2071 -2.4138 -8.9239 -3.6495 2.2764 -4.7016 5.2536" Properties=species:S:1:pos:R:3 pbc="T T T"
O -2.7420 -5.0095 2.4947
O -0.8206 -4.7131 4.7121
O -3.1138 -2.8640 4.5758
O -1.2592 -11.1920 1.1344
O -1.7201 -1.5714 1.3126
O -3.4104 0.8656 8.6768
O -3.2593 -9.6421 5.4096
O -3.9328 -5.7559 9.1793
O -1.4103 -0.6843 4.4017
O -2.9955 -1.1733 10.8528
O -2.0505 -7.2189 0.9134
O -1.7249 -12.0394 4.2790
O -2.6191 -3.1075 8.8978
O -1.5679 -9.1730 3.0141
O -0.7368 -4.5705 0.6319
O -2.9447 1.7130 5.5322
O -3.0596 -4.3379 11.7496
O -1.6741 -9.1531 -1.0416
O -1.5558 -7.4624 5.2354
O -2.9495 -8.7551 8.4986
O -1.6100 -5.9885 -1.9384
O -3.1017 -1.1534 6.7971
O -3.8491 -5.6133 5.0991
O -1.9277 -5.3170 7.3165
V -3.7088 -4.3864 3.8593
V -1.7687 -1.9576 9.9376
V -2.9010 -8.3688 -0.1264
V -0.3638 -10.0639 2.0743
V -4.3058 -0.2626 7.7369
V -0.9608 -5.9400 5.9519
Sr -0.9997 -2.5352 6.2976
Sr -0.3407 -6.3372 2.6095
Sr -0.4882 -2.8646 2.8659
Sr -4.1814 -7.4618 6.9453
Sr -3.6700 -7.7913 3.5137
Sr -4.3289 -3.9892 7.2017
Bi -3.0832 -5.0615 0.0972
Bi -3.8628 -0.5633 4.4604
```

energy: -266.86 eV per cell
ρ: 4.8 g/cm3
volume: 564.54 Å³/cell

4.
SrV4Bi6O20: optimized geometry, PBE+U.

```
31
Lattice="7.2401 0.0483 -0.0228 -3.0555 7.5103 0.0421 -0.6876 -3.1415 8.8537" Properties=species:S:1:pos:R:3 pbc="T T T"
O 4.2261 3.4564 5.0171
O 0.5132 0.2833 7.9649
O 5.1960 -0.3468 6.4108
O 3.6757 2.4138 7.6115
O 2.0772 2.8211 3.2103
O 4.4194 1.6819 2.1700
O 1.3384 4.3862 6.1817
O 0.5373 -2.4322 7.2634
O -0.7292 0.9607 3.8559
O 2.5684 -0.9579 5.5480
O 2.9597 6.8493 1.6095
O 2.9838 4.1338 0.9081
O 1.4197 1.5960 5.6627
O -1.6990 4.7639 2.4622
O 0.9286 5.3750 3.3250
O -0.9225 2.7352 6.7030
O -0.1787 2.0033 1.2615
O 3.4179 -1.3482 8.2106
O 0.0791 5.7653 0.6624
O 2.1586 0.0309 2.6913
V 3.8910 -1.4909 6.5576
V -0.3941 5.9080 2.3153
V -2.5320 3.4317 6.7107
V 6.0290 0.9854 2.1623
Sr -1.5278 3.7551 0.0210
Bi 2.1747 2.0412 0.7780
Bi 0.3318 -0.4874 5.9663
Bi 3.2762 1.3086 4.2660
Bi 3.1652 4.9045 2.9066
Bi 0.2208 3.1085 4.6070
Bi 1.3223 2.3758 8.0950
```

energy: -207.73 eV per cell
ρ: 6.4 g/cm3
volume: 483.35 Å³/cell

Among the records above, which one has the lowest volume?
Sr2VBiO6

Look up the ρ of the fourth one.
6.4 g/cm3

What is the energy in the first record?
-107.61 eV per cell

Look up the energy of the fourth one.
-207.73 eV per cell